Record 1
The following is a DFT calculation (PBE) of a relaxed structure of La4Bi2Te.

a = 8.4838 Å, b = 8.4838 Å, c = 8.4838 Å
α = 109.67°, β = 109.07°, γ = 109.67°
Last column: nearest neighbours and their distance in Å.
Positions (direct):
La  0.1190  0.8903  0.3746  2 Te 3.22-3.54, 4 Bi 3.28-3.52
La  0.6254  0.7444  0.5157  2 Te 3.22-3.54, 4 Bi 3.28-3.52
La  0.9787  0.6097  0.7343  2 Te 3.22-3.54, 4 Bi 3.28-3.52
La  0.2657  0.2444  0.8754  2 Te 3.22-3.54, 4 Bi 3.28-3.52
La  0.6310  0.7556  0.0213  2 Te 3.22-3.54, 4 Bi 3.28-3.52
La  0.7713  0.2556  0.8810  2 Te 3.22-3.54, 4 Bi 3.28-3.52
La  0.4843  0.1097  0.2287  2 Te 3.22-3.54, 4 Bi 3.28-3.52
La  0.1246  0.3903  0.3690  2 Te 3.22-3.54, 4 Bi 3.28-3.52
Bi  0.8750  0.1289  0.5039  8 La 3.28-3.52
Bi  0.4961  0.3711  0.6250  8 La 3.28-3.52
Bi  0.3750  0.8711  0.7461  8 La 3.28-3.52
Bi  0.2539  0.6289  0.1250  8 La 3.28-3.52
Te  0.0000  0.0000  0.0000  8 La 3.22-3.54
Te  0.7500  0.5000  0.2500  8 La 3.22-3.54

Results
Energy relative to the elements, uncorrected   -1.06 eV per atom
ΔE to the lowest computed polymorph   0.0 meV/atom

***

Record 2
The following is a DFT calculation (PBE) of a relaxed structure of Ti5MnPt6.

a = 3.9712 Å, b = 7.7612 Å, c = 7.3903 Å
α = 121.67°, β = 105.55°, γ = 90.00°
Last column: nearest neighbours and their distance in Å.
Positions (direct):
Mn  0.0000  0.0000  0.0000  4 Ti 2.76, 8 Pt 2.78-2.79
Pt  0.8335  0.5838  0.6670  7 Ti 2.76-2.84, 1 Mn 2.78, 4 Pt 2.81
Pt  0.8335  0.0833  0.6670  7 Ti 2.76-2.84, 1 Mn 2.78, 4 Pt 2.81
Pt  0.5000  0.7472  0.0000  6 Ti 2.74-2.78, 2 Mn 2.79, 4 Pt 2.81
Pt  0.5000  0.2528  0.0000  6 Ti 2.74-2.78, 2 Mn 2.79, 4 Pt 2.81
Pt  0.1665  0.9167  0.3330  7 Ti 2.76-2.84, 1 Mn 2.78, 4 Pt 2.81
Pt  0.1665  0.4162  0.3330  7 Ti 2.76-2.84, 1 Mn 2.78, 4 Pt 2.81
Ti  0.6605  0.1605  0.3210  8 Pt 2.74-2.84, 2 Mn 2.76, 2 Ti 2.85
Ti  0.3317  0.3315  0.6631  8 Pt 2.76-2.78, 4 Ti 2.83-2.85
Ti  0.0000  0.5000  0.0000  8 Pt 2.76-2.78, 4 Ti 2.83
Ti  0.6683  0.6685  0.3369  8 Pt 2.76-2.78, 4 Ti 2.83-2.85
Ti  0.3395  0.8395  0.6790  8 Pt 2.74-2.84, 2 Mn 2.76, 2 Ti 2.85

Results
Formation enthalpy at 0 K   -0.845 eV/atom